Here is a relaxed structure of Na3NiO3 from Alexandria. Energies are from PBE+U.

Results
For the energy relative to the lowest polymorph listed for this composition, the calculation gives 31 meV per atom. Its symmetry is P4_2/mnm (136).

abc: 9.3247 9.3247 4.4357
angles: 90.00 90.00 90.00
Closest atoms and distances in Å follow each position.
Sites, in units of the cell vectors:
1 Na 0.1281 0.6284 0.0000  3 O 2.24-2.32
2 Na 0.1284 0.3719 0.5000  3 O 2.24-2.32
3 Na 0.1533 0.8467 0.5000  4 O 2.30-2.35
4 Na 0.3467 0.3467 0.0000  4 O 2.30-2.35
5 Na 0.3716 0.8719 0.0000  3 O 2.24-2.32
6 Na 0.3719 0.1284 0.5000  3 O 2.24-2.32
7 Na 0.6281 0.8716 0.5000  3 O 2.24-2.32
8 Na 0.6284 0.1281 0.0000  3 O 2.24-2.32
9 Na 0.6533 0.6533 0.0000  4 O 2.30-2.35
10 Na 0.8467 0.1533 0.5000  4 O 2.30-2.35
11 Na 0.8716 0.6281 0.5000  3 O 2.24-2.32
12 Na 0.8719 0.3716 0.0000  3 O 2.24-2.32
13 Ni 0.1084 0.1084 0.0000  4 O 1.83-1.90
14 Ni 0.3916 0.6084 0.5000  4 O 1.83-1.90
15 Ni 0.6084 0.3916 0.5000  4 O 1.83-1.90
16 Ni 0.8916 0.8916 0.0000  4 O 1.83-1.90
17 O 0.0948 0.9052 0.0000  2 Ni 1.90
18 O 0.1032 0.3046 0.0000  1 Ni 1.83
19 O 0.1954 0.6032 0.5000  1 Ni 1.83
20 O 0.3046 0.1032 0.0000  1 Ni 1.83
21 O 0.3968 0.8046 0.5000  1 Ni 1.83
22 O 0.4052 0.4052 0.5000  2 Ni 1.90
23 O 0.5948 0.5948 0.5000  2 Ni 1.90
24 O 0.6032 0.1954 0.5000  1 Ni 1.83
25 O 0.6954 0.8968 0.0000  1 Ni 1.83
26 O 0.8046 0.3968 0.5000  1 Ni 1.83
27 O 0.8968 0.6954 0.0000  1 Ni 1.83
28 O 0.9052 0.0948 0.0000  2 Ni 1.90